Compound: Na3TaCo2O6
Source: Alexandria
Functional: GGA+U
Structure: relaxed

**Spin magnetization**: 6.0 μB per formula unit
**Volume**: 272.7 Å³/cell
**Total DFT energy (no corrections)**: -156.038 eV for the cell shown
**DOS at the Fermi energy**: 0.000 states/eV/atom

The structure in CIF format:
```
data_Na3TaCo2O6
_chemical_formula_sum 'Na6 Ta2 Co4 O12'
_cell_length_a 5.3804
_cell_length_b 9.3100
_cell_length_c 5.7311
_cell_angle_alpha 90.00
_cell_angle_beta 108.22
_cell_angle_gamma 90.00
_space_group_name_H-M_alt 'C 1 2/m 1'
_space_group_IT_number 12
loop_
_space_group_symop_operation_xyz
'x,y,z'
'-x,-y,-z'
'-x,y,-z'
'x,-y,z'
'x+1/2,y+1/2,z'
'-x+1/2,-y+1/2,-z'
'-x+1/2,y+1/2,-z'
'x+1/2,-y+1/2,z'
loop_
_atom_site_label
_atom_site_fract_x
_atom_site_fract_y
_atom_site_fract_z
_atom_site_occupancy
Na1 0.0000 0.0000 0.0000 1
Na2 0.0000 0.3261 0.0000 1
Ta1 0.0000 0.5000 0.5000 1
Co1 0.0000 0.1661 0.5000 1
O1 0.2258 0.3429 0.7067 1
O2 0.2447 0.5000 0.2936 1
```